A relaxed structure of KNaCe, computed with PBE.

Energy of formation ... 0.240 eV per atom
Mass density ... 2.73 Mg/m³

a = 3.861 Å, b = 3.861 Å, c = 16.523 Å
α = 90.00°, β = 90.00°, γ = 90.00°
Space group P4/nmm (No. 129, origin choice 2)
Unique sites:
K (0.250, 0.250, 0.117) (multiplicity 2)
Na (0.250, 0.250, 0.690) (multiplicity 2)
Ce (0.250, 0.250, 0.466) (multiplicity 2)

A relaxed structure of K4NaCe3O8, computed with PBE.

Mass density ... 4.34 Mg/m³

a = 7.1902 Å, b = 7.1902 Å, c = 18.6662 Å
α = 90.00°, β = 90.00°, γ = 120.00°
Space group R-3m (No. 166, hexagonal axes)
Unique sites:
K (0.0000, 0.0000, 0.0000) (multiplicity 3)
K (0.0000, 0.5000, 0.0000) (multiplicity 9)
Na (0.0000, 0.0000, 0.5000) (multiplicity 3)
Ce (0.0000, 0.5000, 0.5000) (multiplicity 9)
O (0.0000, 0.0000, 0.2315) (multiplicity 6)
O (0.0297, 0.5149, 0.7713) (multiplicity 18)

A relaxed structure of KNaCeO3, computed with PBE.

Mass density ... 4.04 Mg/m³

a = 6.696 Å, b = 3.575 Å, c = 8.594 Å
α = 90.00°, β = 91.90°, γ = 90.00°
Space group P2_1/m (No. 11)
Unique sites:
K (0.066, 0.250, 0.321) (multiplicity 2)
Na (0.280, 0.750, 0.986) (multiplicity 2)
Ce (0.431, 0.250, 0.679) (multiplicity 2)
O (0.179, 0.250, 0.814) (multiplicity 2)
O (0.322, 0.750, 0.516) (multiplicity 2)
O (0.428, 0.250, 0.189) (multiplicity 2)

A relaxed structure of K2Na2CeO4, computed with PBE.

Mass density ... 3.30 Mg/m³

a = 12.671 Å, b = 3.685 Å, c = 8.874 Å
α = 90.00°, β = 127.16°, γ = 90.00°
Space group C2/m (No. 12)
Unique sites:
K (0.183, 0.000, 0.293) (multiplicity 4)
Na (0.145, 0.500, 0.883) (multiplicity 4)
Ce (0.000, 0.000, 0.500) (multiplicity 2)
O (0.063, 0.500, 0.403) (multiplicity 4)
O (0.197, 0.000, 0.783) (multiplicity 4)

A relaxed structure of K3NaCe2O6, computed with PBE.

Mass density ... 4.17 Mg/m³

a = 6.182 Å, b = 10.696 Å, c = 6.561 Å
α = 90.00°, β = 108.32°, γ = 90.00°
Space group C2/m (No. 12)
Unique sites:
K (0.000, 0.000, 0.000) (multiplicity 2)
K (0.000, 0.343, 0.000) (multiplicity 4)
Na (0.000, 0.500, 0.500) (multiplicity 2)
Ce (0.000, 0.167, 0.500) (multiplicity 4)
O (0.195, 0.000, 0.690) (multiplicity 4)
O (0.250, 0.186, 0.308) (multiplicity 8)

A relaxed structure of K5NaCe2S6O24, computed with PBE.

Mass density ... 3.14 Mg/m³

a = 9.370 Å, b = 16.508 Å, c = 7.871 Å
α = 90.00°, β = 110.74°, γ = 90.00°
Space group C2/m (No. 12)
Unique sites:
K (0.000, 0.000, 0.000) (multiplicity 2)
K (0.226, 0.346, 0.622) (multiplicity 8)
Na (0.000, 0.000, 0.500) (multiplicity 2)
Ce (0.000, 0.357, 0.000) (multiplicity 4)
S (0.096, 0.500, 0.304) (multiplicity 4)
S (0.129, 0.165, 0.820) (multiplicity 8)
O (0.001, 0.425, 0.291) (multiplicity 8)
O (0.020, 0.102, 0.721) (multiplicity 8)
O (0.041, 0.241, 0.819) (multiplicity 8)
O (0.141, 0.500, 0.138) (multiplicity 4)
O (0.217, 0.138, 0.010) (multiplicity 8)
O (0.229, 0.500, 0.474) (multiplicity 4)
O (0.246, 0.182, 0.734) (multiplicity 8)

no.,uncorrected energy (eV per atom)
1,-2.543
2,-6.453
3,-6.294
4,-5.432
5,-6.318
6,-6.270